[1]
VASP calculation (GGA-PBE) on a relaxed Co2P crystal.

```
Co2P
1.0
-2.587 2.587 2.420
2.587 -2.587 2.420
2.587 2.587 -2.420
Co P
4 2
direct
0.171 0.671 0.841
0.329 0.171 0.500
0.671 0.829 0.500
0.829 0.329 0.159
0.250 0.250 0.000
0.750 0.750 0.000
```

Calculated values
The value obtained for the energy of formation from the pure elements is -72 kJ/mol of formula units. Its symmetry is I4/mcm. The magnetization is 0.87 μB per formula unit. For the electronic total energy, the calculation gives -6.79 eV per atom.

[2]
VASP calculation (GGA-PBE) on a relaxed Sr2CrHg crystal.

```
Sr2CrHg
1.0
6.321 -2.047 0.000
6.321 2.047 0.000
-2.380 0.000 4.995
Sr Cr Hg
2 1 1
direct
0.000 0.000 0.000
0.210 0.210 0.706
0.779 0.779 0.276
0.449 0.449 0.450
```

Calculated values
The value obtained for the energy of formation from the pure elements is 62 kJ/mol of formula units. Its symmetry is Cm. The magnetization is 4.51 μB per formula unit. For the electronic total energy, the calculation gives -3.16 eV per atom. As for the energy above the lowest structure with this stoichiometry: 79 meV per atom.

Q: The highest energy of formation from the pure elements belongs to which entry?
A: Sr2CrHg

Q: What is the energy of formation from the pure elements in the second record?
A: 62 kJ/mol of formula units

Q: Among the records above, which one has the highest magnetization?
A: Sr2CrHg

Copy entry 1 word for word.
VASP calculation (GGA-PBE) on a relaxed Co2P crystal.

```
Co2P
1.0
-2.587 2.587 2.420
2.587 -2.587 2.420
2.587 2.587 -2.420
Co P
4 2
direct
0.171 0.671 0.841
0.329 0.171 0.500
0.671 0.829 0.500
0.829 0.329 0.159
0.250 0.250 0.000
0.750 0.750 0.000
```

Calculated values
The value obtained for the energy of formation from the pure elements is -72 kJ/mol of formula units. Its symmetry is I4/mcm. The magnetization is 0.87 μB per formula unit. For the electronic total energy, the calculation gives -6.79 eV per atom.